Model w:
# SmHo2Al

Crystalline SmHo2Al at its relaxed geometry (GGA-PBE, Alexandria).

a = 7.5843 Å, b = 7.5843 Å, c = 7.5843 Å
α = 90.00°, β = 90.00°, γ = 90.00°
Positions (direct):
1 Sm 0.0000 0.0000 0.0000
2 Sm 0.0000 0.5000 0.5000
3 Sm 0.5000 0.0000 0.5000
4 Sm 0.5000 0.5000 0.0000
5 Ho 0.2500 0.2500 0.2500
6 Ho 0.2500 0.2500 0.7500
7 Ho 0.2500 0.7500 0.2500
8 Ho 0.2500 0.7500 0.7500
9 Ho 0.7500 0.2500 0.2500
10 Ho 0.7500 0.2500 0.7500
11 Ho 0.7500 0.7500 0.2500
12 Ho 0.7500 0.7500 0.7500
13 Al 0.0000 0.0000 0.5000
14 Al 0.0000 0.5000 0.0000
15 Al 0.5000 0.0000 0.0000
16 Al 0.5000 0.5000 0.5000

Output
- space group = Fm-3m (225)



Model x:
# SmHo2Al

Crystalline SmHo2Al at its relaxed geometry (GGA-PBE, Alexandria).

a = 3.5726 Å, b = 3.5726 Å, c = 31.3968 Å
α = 90.00°, β = 90.00°, γ = 120.00°
Positions (direct):
1 Sm 0.0000 0.0000 0.0000
2 Sm 0.3333 0.6667 0.6667
3 Sm 0.6667 0.3333 0.3333
4 Ho 0.0000 0.0000 0.2388
5 Ho 0.0000 0.0000 0.4282
6 Ho 0.3333 0.6667 0.0949
7 Ho 0.3333 0.6667 0.9055
8 Ho 0.6667 0.3333 0.5721
9 Ho 0.6667 0.3333 0.7616
10 Al 0.0000 0.0000 0.8339
11 Al 0.3333 0.6667 0.5005
12 Al 0.6667 0.3333 0.1672

Output
- space group = R3m (160)



What is the stability order? It is model x, model w, from most stable to least stable.